1.
Below is an optimized crystal structure of Sr3VC2N6, with properties calculated at the PBE level.

Computed properties:
VASP energy: -7.425 eV/atom
energy relative to the elements, uncorrected: -0.544 eV/atom

Unit cell a=5.349 b=5.349 c=6.374 alpha=90.00 beta=90.00 gamma=120.00
Sites, in units of the cell vectors:
Sr1 0.000 0.000 0.000
Sr2 0.333 0.667 0.698
Sr3 0.667 0.333 0.302
V1 0.000 0.000 0.500
C1 0.333 0.667 0.298
C2 0.667 0.333 0.702
N1 0.184 0.369 0.301
N2 0.184 0.816 0.301
N3 0.369 0.184 0.699
N4 0.631 0.816 0.301
N5 0.816 0.184 0.699
N6 0.816 0.631 0.699

---

2.
Below is an optimized crystal structure of Dy2UTl2S6, with properties calculated at the PBE level.

Computed properties:
VASP energy: -5.999 eV/atom
energy relative to the elements, uncorrected: -1.455 eV/atom

Unit cell a=6.937 b=6.937 c=7.935 alpha=98.53 beta=98.53 gamma=119.90
Sites, in units of the cell vectors:
Dy1 0.166 0.834 0.000
Dy2 0.834 0.166 0.000
U1 0.500 0.500 0.000
Tl1 0.332 0.668 0.500
Tl2 0.668 0.332 0.500
S1 0.107 0.436 0.807
S2 0.240 0.240 0.194
S3 0.436 0.107 0.807
S4 0.564 0.893 0.193
S5 0.760 0.760 0.806
S6 0.893 0.564 0.193

---

3.
Below is an optimized crystal structure of HfNiOs3, with properties calculated at the PBE level.

Computed properties:
VASP energy: -8.668 eV/atom
energy above the most stable polymorph in this dataset: 0.000 eV per atom
formation energy: 1.2169 eV per atom

Unit cell a=4.428 b=4.428 c=4.428 alpha=90.00 beta=90.00 gamma=90.00
Sites, in units of the cell vectors:
Hf1 0.000 0.000 0.000
Ni1 0.500 0.500 0.500
Os1 0.000 0.500 0.500
Os2 0.500 0.000 0.500
Os3 0.500 0.500 0.000

---

4.
Below is an optimized crystal structure of LaEr2Rh, with properties calculated at the PBE level.

Computed properties:
VASP energy: -5.802 eV/atom
energy above the most stable polymorph in this dataset: 0.069 eV per atom
formation energy: -0.4509 eV per atom

Unit cell a=3.479 b=3.479 c=8.862 alpha=90.00 beta=90.00 gamma=90.00
Sites, in units of the cell vectors:
La1 0.000 0.000 0.000
Er1 0.500 0.500 0.318
Er2 0.500 0.500 0.682
Rh1 0.000 0.000 0.500

---

Copy entry 1 word for word.
Below is an optimized crystal structure of Sr3VC2N6, with properties calculated at the PBE level.

Computed properties:
VASP energy: -7.425 eV/atom
energy relative to the elements, uncorrected: -0.544 eV/atom

Unit cell a=5.349 b=5.349 c=6.374 alpha=90.00 beta=90.00 gamma=120.00
Sites, in units of the cell vectors:
Sr1 0.000 0.000 0.000
Sr2 0.333 0.667 0.698
Sr3 0.667 0.333 0.302
V1 0.000 0.000 0.500
C1 0.333 0.667 0.298
C2 0.667 0.333 0.702
N1 0.184 0.369 0.301
N2 0.184 0.816 0.301
N3 0.369 0.184 0.699
N4 0.631 0.816 0.301
N5 0.816 0.184 0.699
N6 0.816 0.631 0.699

---

Which formula does entry 2 have? Dy2UTl2S6

---

Copy entry 3 word for word.
Below is an optimized crystal structure of HfNiOs3, with properties calculated at the PBE level.

Computed properties:
VASP energy: -8.668 eV/atom
energy above the most stable polymorph in this dataset: 0.000 eV per atom
formation energy: 1.2169 eV per atom

Unit cell a=4.428 b=4.428 c=4.428 alpha=90.00 beta=90.00 gamma=90.00
Sites, in units of the cell vectors:
Hf1 0.000 0.000 0.000
Ni1 0.500 0.500 0.500
Os1 0.000 0.500 0.500
Os2 0.500 0.000 0.500
Os3 0.500 0.500 0.000

---

What is the VASP energy in the third record? -8.668 eV/atom